Below is a relaxed structure of LaPrZnGa, with properties calculated at the PBE level.

Lattice parameters (Å, degrees): 5.296 5.296 5.296 60.00 60.00 60.00
Fractional coordinates of all 4 atoms:
1 La 0.000 0.000 0.000
2 Pr 0.500 0.500 0.500
3 Ga 0.750 0.750 0.750
4 Zn 0.250 0.250 0.250

Computed properties:
- calculated total energy (eV per cell) = -15.78
- formation energy from the elements (eV per atom) = -0.443
- M_tot (μB/atom) = 0.00
- DOS at the Fermi energy (states/eV/f.u.) = 4.2